Record 1
A plane-wave DFT calculation with PBE-GGA was carried out for a geometry-optimized CeNd2Tc structure.

Calculated values
* crystal system: trigonal
* offset from the most stable computed form: 503 meV/atom
* ΔE_f: 0.40 eV/atom
* mass density: 7.78 g cm⁻³

The structure in extended XYZ format:
```
4
Lattice="-2.099 0.306 2.706 -2.329 -2.444 0.655 5.827 -5.994 7.381" Properties=species:S:1:pos:R:3 pbc="T T T"
Nd 3.584 -4.372 5.458
Nd -2.184 -3.760 5.284
Tc 0.700 -4.066 5.371
Ce 0.000 0.000 0.000
```

***

Record 2
A plane-wave DFT calculation with PBE-GGA was carried out for a geometry-optimized Y3TmCo structure.

Calculated values
* crystal system: cubic
* offset from the most stable computed form: 60 meV/atom
* ΔE_f: 0.02 eV/atom
* mass density: 5.58 g cm⁻³

The structure in extended XYZ format:
```
5
Lattice="-3.015 4.323 0.336 -2.111 -1.107 -4.712 -3.787 -2.824 2.360" Properties=species:S:1:pos:R:3 pbc="T T T"
Y -1.056 -0.553 -2.356
Y -1.893 -1.412 1.180
Y -1.507 2.161 0.168
Tm -4.456 0.196 -1.008
Co 0.000 0.000 0.000
```

***

Record 3
A plane-wave DFT calculation with PBE-GGA was carried out for a geometry-optimized PmCdGa2Au2 structure.

Calculated values
* crystal system: trigonal
* ΔE_f: -0.52 eV/atom
* mass density: 10.51 g cm⁻³

The structure in extended XYZ format:
```
6
Lattice="4.501 0.000 0.000 -2.251 3.898 0.000 0.000 0.000 7.121" Properties=species:S:1:pos:R:3 pbc="T T T"
Pm 0.000 0.000 0.000
Cd 0.000 0.000 3.560
Ga 2.251 1.299 1.869
Ga 0.000 2.599 5.252
Au 2.251 1.299 5.106
Au 0.000 2.599 2.015
```

***

Record 4
A plane-wave DFT calculation with PBE-GGA was carried out for a geometry-optimized Dy4Au2C structure.

Calculated values
* crystal system: tetragonal
* ΔE_f: -0.51 eV/atom
* mass density: 10.32 g cm⁻³

The structure in extended XYZ format:
```
7
Lattice="4.834 0.000 0.000 0.000 4.834 0.000 -2.417 -2.417 7.269" Properties=species:S:1:pos:R:3 pbc="T T T"
C 0.000 0.000 0.000
Au 2.417 2.417 1.901
Au 0.000 0.000 5.368
Dy 2.417 2.417 4.782
Dy 0.000 0.000 2.488
Dy 0.000 2.417 0.000
Dy 2.417 0.000 0.000
```

***

Record 5
A plane-wave DFT calculation with PBE-GGA was carried out for a geometry-optimized NbSe2I structure.

Calculated values
* energy relative to the elements, uncorrected: -0.542 eV/atom
* crystal system: trigonal
* offset from the most stable computed form: 4 meV/atom
* mass density: 5.18 g cm⁻³

The structure in extended XYZ format:
```
4
Lattice="-0.119 -5.138 10.596 -1.551 -7.713 8.763 1.903 -7.423 8.943" Properties=species:S:1:pos:R:3 pbc="T T T"
I 0.000 0.000 0.000
Nb 0.116 -10.137 14.151
Se 0.205 -17.877 24.955
Se 0.028 -2.398 3.347
```

***

Record 6
A plane-wave DFT calculation with PBE-GGA was carried out for a geometry-optimized ScRe2Au structure.

Calculated values
* crystal system: tetragonal
* offset from the most stable computed form: 0 meV/atom
* ΔE_f: -0.12 eV/atom
* mass density: 14.65 g cm⁻³

The structure in extended XYZ format:
```
4
Lattice="3.060 0.000 0.000 0.000 3.060 0.000 0.000 0.000 7.439" Properties=species:S:1:pos:R:3 pbc="T T T"
Au 1.530 1.530 5.641
Re 0.000 0.000 0.242
Re 1.530 1.530 1.654
Sc 0.000 0.000 3.622
```

***

Record 7
A plane-wave DFT calculation with PBE-GGA was carried out for a geometry-optimized Li4MgIn structure.

Calculated values
* crystal system: orthorhombic
* offset from the most stable computed form: 124 meV/atom
* ΔE_f: -0.06 eV/atom
* mass density: 2.19 g cm⁻³

The structure in extended XYZ format:
```
12
Lattice="-4.455 -1.029 -1.584 2.309 -6.533 -2.247 0.591 -2.268 7.200" Properties=species:S:1:pos:R:3 pbc="T T T"
Li 0.155 -4.128 2.245
Li -1.710 -5.702 1.123
Li -0.629 -1.908 3.009
Li -0.926 -7.922 0.360
Li -0.727 -5.808 -1.571
Li -0.828 -4.022 4.940
Li 1.154 -3.267 -1.123
Li 0.000 0.000 0.000
Mg 0.515 -6.968 3.077
Mg -2.070 -2.862 0.291
In 1.210 -5.787 0.358
In -2.765 -4.043 3.011
```

***

Record 8
A plane-wave DFT calculation with PBE-GGA was carried out for a geometry-optimized Ni2AsW structure.

Calculated values
* crystal system: orthorhombic
* ΔE_f: 0.14 eV/atom
* mass density: 11.79 g cm⁻³

The structure in extended XYZ format:
```
4
Lattice="4.972 0.006 0.003 2.303 4.407 -0.003 -3.186 -2.951 2.421" Properties=species:S:1:pos:R:3 pbc="T T T"
As 1.377 1.831 1.209
Ni 0.135 0.082 0.000
Ni 3.502 2.124 0.000
W 2.712 -0.369 1.212
```

***

Record 9
A plane-wave DFT calculation with PBE-GGA was carried out for a geometry-optimized CrSeBr2 structure.

Calculated values
* energy relative to the elements, uncorrected: -0.390 eV/atom
* crystal system: orthorhombic
* offset from the most stable computed form: 23 meV/atom
* mass density: 3.88 g cm⁻³

The structure in extended XYZ format:
```
4
Lattice="-3.258 -1.083 -1.039 2.779 -1.919 -6.712 3.097 -5.754 -3.713" Properties=species:S:1:pos:R:3 pbc="T T T"
Br 0.732 -0.957 -1.299
Br 2.206 -2.880 -3.914
Cr -0.160 -2.460 -3.126
Se 2.778 -6.297 -8.339
```

***

Record 10
A plane-wave DFT calculation with PBE-GGA was carried out for a geometry-optimized YMnNbTe2 structure.

Calculated values
* energy relative to the elements, uncorrected: 0.156 eV/atom
* crystal system: tetragonal
* mass density: 6.59 g cm⁻³

The structure in extended XYZ format:
```
5
Lattice="-3.968 1.707 -2.986 -0.390 -4.091 -1.821 -3.410 -1.349 3.760" Properties=species:S:1:pos:R:3 pbc="T T T"
Y -3.884 -1.866 -0.524
Nb -0.195 -2.046 -0.911
Te -1.705 -0.674 1.880
Te -1.984 0.854 -1.493
Mn 0.000 0.000 0.000
```

***

Record 11
A plane-wave DFT calculation with PBE-GGA was carried out for a geometry-optimized Tl2HgHAu structure.

Calculated values
* crystal system: tetragonal
* offset from the most stable computed form: 0 meV/atom
* mass density: 11.51 g cm⁻³

The structure in extended XYZ format:
```
5
Lattice="5.710 0.000 0.000 0.000 5.710 0.000 0.000 0.000 3.572" Properties=species:S:1:pos:R:3 pbc="T T T"
H 0.000 0.000 0.000
Tl 0.000 2.855 0.000
Tl 2.855 0.000 0.000
Au 0.000 0.000 1.786
Hg 2.855 2.855 1.786
```

***

Record 12
A plane-wave DFT calculation with PBE-GGA was carried out for a geometry-optimized La2HoH structure.

Calculated values
* crystal system: trigonal
* offset from the most stable computed form: 8 meV/atom
* mass density: 6.89 g cm⁻³

The structure in extended XYZ format:
```
4
Lattice="3.708 0.000 0.000 1.854 3.211 0.000 1.854 1.070 8.981" Properties=species:S:1:pos:R:3 pbc="T T T"
H 0.000 0.000 0.000
Ho 3.708 2.141 4.490
La 5.562 3.211 7.446
La 1.854 1.070 1.535
```

***

Record 13
A plane-wave DFT calculation with PBE-GGA was carried out for a geometry-optimized CeCoSiN structure.

Calculated values
* energy relative to the elements, uncorrected: -1.109 eV/atom
* crystal system: tetragonal
* mass density: 7.04 g cm⁻³

The structure in extended XYZ format:
```
8
Lattice="3.757 0.000 0.000 0.000 3.757 0.000 0.000 0.000 8.055" Properties=species:S:1:pos:R:3 pbc="T T T"
Ce 0.000 1.879 6.737
Ce 1.879 0.000 1.318
Co 0.000 0.000 4.028
Co 1.879 1.879 4.028
Si 0.000 1.879 2.815
Si 1.879 0.000 5.240
N 1.879 0.000 7.035
N 0.000 1.879 1.020
```

***

Record 14
A plane-wave DFT calculation with PBE-GGA was carried out for a geometry-optimized Rb3ErNb2O8 structure.

Calculated values
* energy relative to the elements, uncorrected: -2.577 eV/atom
* crystal system: trigonal
* mass density: 4.50 g cm⁻³

The structure in extended XYZ format:
```
14
Lattice="-1.466 5.849 -1.655 0.890 -4.362 -4.391 -7.815 -1.879 0.283" Properties=species:S:1:pos:R:3 pbc="T T T"
Rb -5.300 -2.257 -3.283
Rb -3.092 1.866 -2.480
Rb 0.000 0.000 0.000
Er -3.908 -0.939 0.142
Nb -1.867 -1.432 -3.408
Nb -6.525 1.040 -2.355
O -0.098 -1.007 -3.472
O -8.294 0.615 -2.291
O -2.117 -3.267 -3.835
O -6.274 2.876 -1.928
O -2.557 -1.112 -1.665
O -5.835 0.720 -4.098
O -2.842 -0.377 -4.653
O -5.550 -0.015 -1.110
```

***

Record 15
A plane-wave DFT calculation with PBE-GGA was carried out for a geometry-optimized MgZnGa structure.

Calculated values
* crystal system: orthorhombic
* ΔE_f: -0.07 eV/atom
* mass density: 4.95 g cm⁻³

The structure in extended XYZ format:
```
6
Lattice="4.148 0.000 0.000 0.000 4.068 0.000 -2.074 0.000 6.342" Properties=species:S:1:pos:R:3 pbc="T T T"
Mg 2.074 1.017 5.203
Mg 0.000 3.051 1.139
Zn 0.000 1.017 3.193
Zn 2.074 3.051 3.149
Ga 2.074 1.017 1.207
Ga 0.000 3.051 5.135
```

***

Record 16
A plane-wave DFT calculation with PBE-GGA was carried out for a geometry-optimized Nd6Ir2PdI3 structure.

Calculated values
* energy relative to the elements, uncorrected: -0.955 eV/atom
* crystal system: monoclinic
* mass density: 7.61 g cm⁻³

The structure in extended XYZ format:
```
12
Lattice="7.334 0.000 0.000 -3.665 6.352 0.000 -1.223 -2.118 8.133" Properties=species:S:1:pos:R:3 pbc="T T T"
Nd 3.706 2.050 6.620
Nd 2.407 4.167 1.512
Nd -1.260 2.185 1.514
Nd -0.077 4.234 6.620
Nd 0.039 0.067 6.622
Nd 2.522 0.000 1.514
Ir 0.001 4.235 0.000
Ir 3.668 2.117 0.000
Pd 0.000 0.000 0.000
I -2.445 4.235 4.067
I 4.890 -0.001 4.067
I 1.223 2.117 4.067
```

***

Record 17
A plane-wave DFT calculation with PBE-GGA was carried out for a geometry-optimized Fe2Cu2Ni3 structure.

Calculated values
* crystal system: orthorhombic
* ΔE_f: 0.05 eV/atom
* mass density: 8.53 g cm⁻³

The structure in extended XYZ format:
```
7
Lattice="3.684 0.000 0.489 0.000 2.478 0.000 0.688 0.000 8.940" Properties=species:S:1:pos:R:3 pbc="T T T"
Fe 2.692 1.239 7.967
Fe 1.681 1.239 1.461
Cu 3.014 1.239 5.537
Cu 1.358 1.239 3.891
Ni 3.357 0.000 2.951
Ni 0.000 0.000 0.000
Ni 1.015 0.000 6.477
```

***

Record 18
A plane-wave DFT calculation with PBE-GGA was carried out for a geometry-optimized LiPb6 structure.

Calculated values
* crystal system: trigonal
* offset from the most stable computed form: 0 meV/atom
* ΔE_f: -0.01 eV/atom
* mass density: 9.87 g cm⁻³

The structure in extended XYZ format:
```
7
Lattice="-4.860 -0.875 -2.711 -1.762 -5.257 -0.999 -5.933 -2.066 5.448" Properties=species:S:1:pos:R:3 pbc="T T T"
Li 0.000 0.000 0.000
Pb -9.738 -6.150 1.880
Pb -7.120 -4.104 2.381
Pb -4.433 -2.057 2.757
Pb -8.122 -6.141 -1.020
Pb -5.435 -4.094 -0.644
Pb -2.817 -2.048 -0.143
```

***

Record 19
A plane-wave DFT calculation with PBE-GGA was carried out for a geometry-optimized BaZrZn2Ir structure.

Calculated values
* crystal system: tetragonal
* ΔE_f: 1.51 eV/atom
* mass density: 5.82 g cm⁻³

The structure in extended XYZ format:
```
5
Lattice="5.100 0.000 0.000 0.000 6.051 0.000 0.000 0.000 5.100" Properties=species:S:1:pos:R:3 pbc="T T T"
Zn 0.000 0.000 2.550
Zn 2.550 0.000 0.000
Ir 2.550 3.026 2.550
Ba 0.000 3.026 0.000
Zr 0.000 0.000 0.000
```

***

Record 20
A plane-wave DFT calculation with PBE-GGA was carried out for a geometry-optimized SnHg2PbI4 structure.

Calculated values
* energy relative to the elements, uncorrected: -0.359 eV/atom
* crystal system: triclinic
* mass density: 6.09 g cm⁻³

The structure in extended XYZ format:
```
8
Lattice="-7.906 -4.097 -0.768 2.960 -7.972 2.484 2.506 6.511 3.515" Properties=species:S:1:pos:R:3 pbc="T T T"
Sn 1.132 -3.414 1.766
Hg 1.845 -3.460 4.910
Hg -0.101 -0.220 1.624
Pb -3.128 -5.826 3.639
I -1.949 -2.820 3.802
I -4.336 -5.302 0.811
I -0.188 -6.217 2.458
I -5.517 -1.113 1.787
```

***

Record 21
A plane-wave DFT calculation with PBE-GGA was carried out for a geometry-optimized LiTiBeIr structure.

Calculated values
* crystal system: cubic
* ΔE_f: -0.39 eV/atom
* mass density: 8.21 g cm⁻³

The structure in extended XYZ format:
```
4
Lattice="-3.913 1.371 -0.559 -2.104 -1.034 -3.466 -3.207 -2.678 0.220" Properties=species:S:1:pos:R:3 pbc="T T T"
Be -6.918 -1.756 -2.853
Ir 0.000 0.000 0.000
Li -4.612 -1.171 -1.902
Ti -2.306 -0.585 -0.951
```

***

Record 22
A plane-wave DFT calculation with PBE-GGA was carried out for a geometry-optimized NaSrDyCd structure.

Calculated values
* crystal system: cubic
* ΔE_f: 0.02 eV/atom
* mass density: 5.03 g cm⁻³

The structure in extended XYZ format:
```
4
Lattice="5.646 0.000 0.000 2.823 4.890 0.000 2.823 1.630 4.610" Properties=species:S:1:pos:R:3 pbc="T T T"
Sr 0.000 0.000 0.000
Cd 8.469 4.890 3.457
Na 2.823 1.630 1.152
Dy 5.646 3.260 2.305
```